Compound: LiFeSbF6
Source: Alexandria via LeMat-Bulk
Functional: PBE+U
Structure: optimized geometry

Cell lengths 5.296, 5.296, 9.794 Å; angles 90.00, 90.00, 120.00 degrees
Fractional positions:
Li 0.333 0.667 0.250
Li 0.667 0.333 0.750
Fe 0.333 0.667 0.750
Fe 0.667 0.333 0.250
Sb 0.000 0.000 0.000
Sb 0.000 0.000 0.500
F 0.003 0.344 0.134
F 0.003 0.659 0.366
F 0.341 0.344 0.366
F 0.341 0.997 0.134
F 0.344 0.003 0.634
F 0.344 0.341 0.866
F 0.656 0.659 0.134
F 0.656 0.997 0.366
F 0.659 0.003 0.866
F 0.659 0.656 0.634
F 0.997 0.341 0.634
F 0.997 0.656 0.866

Values from the calculation:
DOS at the Fermi energy: 14.0 states/eV/cell
SG: P-31c (163)
VASP energy: -88.54 eV per cell